Density functional theory data (PBE with a Hubbard U) for a relaxed Ba12Cr3O5 crystal.

extended XYZ file:
```
80
Lattice="-9.061 9.061 9.061 9.061 -9.061 9.061 9.061 9.061 -9.061" Properties=species:S:1:pos:R:3 pbc="T T T"
Ba 2.693 -0.662 0.808
Ba 10.898 5.338 -5.192
Ba 11.754 0.662 0.808
Ba 10.898 -3.723 5.192
Ba 8.399 -0.808 2.693
Ba 14.253 -1.838 3.723
Ba 0.808 2.693 -0.662
Ba 12.783 3.869 -1.838
Ba 5.338 5.192 -1.838
Ba 8.253 2.693 0.662
Ba -0.662 0.808 2.693
Ba 5.192 -1.838 5.338
Ba 8.399 8.253 -2.693
Ba 5.192 1.838 3.723
Ba 5.338 -5.192 10.898
Ba 8.253 -2.693 8.399
Ba 3.723 5.192 1.838
Ba 9.869 6.368 0.662
Ba 5.192 10.898 -3.723
Ba 8.399 0.808 6.368
Ba 2.693 8.399 -0.808
Ba 10.898 3.723 3.869
Ba 1.838 3.723 5.192
Ba 2.693 0.662 8.253
Ba 6.368 8.399 0.808
Ba 7.223 5.338 3.869
Ba -1.838 5.338 5.192
Ba 6.368 0.662 9.869
Ba 0.662 8.253 2.693
Ba 3.869 -1.838 12.783
Ba -0.808 2.693 8.399
Ba 5.338 3.869 7.223
Ba 0.808 11.754 0.662
Ba 3.723 14.253 -1.838
Ba 3.869 7.223 5.338
Ba 0.662 0.808 11.754
Ba 3.869 10.898 3.723
Ba 9.723 8.253 6.368
Ba 0.808 6.368 8.399
Ba 3.723 3.869 10.898
Ba -3.723 5.192 10.898
Ba 8.253 6.368 9.723
Ba -5.192 10.898 5.338
Ba 0.662 9.869 6.368
Ba -1.838 12.783 3.869
Ba -2.693 8.399 8.253
Ba -1.838 3.723 14.253
Ba 6.368 9.723 8.253
Cr 4.530 2.265 0.000
Cr 9.061 4.530 -2.265
Cr 2.265 0.000 4.530
Cr 11.326 0.000 4.530
Cr 0.000 4.530 2.265
Cr 4.530 -2.265 9.061
Cr 4.530 11.326 0.000
Cr 9.061 4.530 6.796
Cr -2.265 9.061 4.530
Cr 6.796 9.061 4.530
Cr 0.000 4.530 11.326
Cr 4.530 6.796 9.061
O 0.000 0.000 0.000
O 4.530 4.530 -4.530
O 4.530 -4.530 4.530
O 9.061 0.000 0.000
O 13.591 2.265 0.000
O 9.061 -4.530 6.796
O 6.796 9.061 -4.530
O 6.796 0.000 4.530
O 4.530 6.796 0.000
O 9.061 4.530 2.265
O -4.530 4.530 4.530
O 0.000 9.061 0.000
O 0.000 0.000 9.061
O 4.530 4.530 4.530
O 0.000 4.530 6.796
O 4.530 2.265 9.061
O 2.265 9.061 4.530
O 2.265 0.000 13.591
O 0.000 13.591 2.265
O -4.530 6.796 9.061
```

Output
- magnetization (μB per formula unit) = 15.8
- E_tot (eV for the cell shown) = -362.216